Y3PPb | Alexandria | PBE-GGA | optimized geometry; E_tot = -6.5711 eV per atom; formation enthalpy at 0 K = -0.869 eV/atom
1.0
8.644 0.030 0.000
-1.347 8.077 0.000
0.000 0.000 4.127
P Y Pb
2 6 2
direct
0.622 0.959 0.969
0.325 0.642 0.469
0.302 0.864 0.969
0.597 0.179 0.469
0.928 0.116 0.969
0.020 0.485 0.469
0.646 0.737 0.469
0.350 0.422 0.969
0.739 0.464 0.969
0.208 0.138 0.469



Y3PPb | Alexandria | PBE-GGA | optimized geometry; E_tot = -6.3292 eV per atom; formation enthalpy at 0 K = -0.627 eV/atom
1.0
4.268 -2.464 0.000
0.000 4.928 0.000
0.000 0.000 15.453
Y Pb P
6 2 2
direct
0.333 0.667 0.922
0.667 0.333 0.422
0.667 0.333 0.078
0.000 0.000 0.750
0.000 0.000 0.250
0.333 0.667 0.578
0.000 0.000 0.500
0.000 0.000 0.000
0.333 0.667 0.750
0.667 0.333 0.250